Entry 1:
VASP calculation (GGA-PBE) on crystalline Sm2CuSe4O12 at its relaxed geometry.

a = 10.819 Å, b = 7.034 Å, c = 8.257 Å
α = 90.00°, β = 109.95°, γ = 90.00°
Space group P2_1/c (No. 14)
One atom of each set of equivalent atoms:
Sm 0.084 0.163 0.239
Cu 0.500 0.000 0.500
Se 0.183 0.677 0.135
Se 0.365 0.172 0.124
O 0.056 0.654 0.589
O 0.107 0.507 0.221
O 0.156 0.613 0.926
O 0.200 0.222 0.031
O 0.348 0.118 0.323
O 0.442 0.108 0.677

Total moment (μB/f.u.): 1.0
Energy (eV/atom): -6.138
Volume (Å³/cell): 590.6
ρ (g/cm3): 4.90



Entry 2:
VASP calculation (GGA-PBE) on crystalline Sm2CuSe2O at its relaxed geometry.

a = 3.529 Å, b = 3.529 Å, c = 14.368 Å
α = 90.00°, β = 90.00°, γ = 90.00°
Space group P4/mmm (No. 123)
One atom of each set of equivalent atoms:
Sm 0.000 0.000 0.145
Cu 0.000 0.000 0.500
Se 0.000 0.000 0.345
O 0.000 0.000 0.000

Total moment (μB/f.u.): 0.0
D(E_F) (states/eV/cell): 4.805
Energy (eV/atom): -4.762
Volume (Å³/cell): 179.0
ρ (g/cm3): 4.99



Entry 3:
VASP calculation (GGA-PBE) on crystalline Sr2CuSeO2 at its relaxed geometry.

a = 3.953 Å, b = 3.953 Å, c = 7.022 Å
α = 90.00°, β = 90.00°, γ = 90.00°
Space group P4/mmm (No. 123)
One atom of each set of equivalent atoms:
Sr 0.000 0.000 0.240
Cu 0.500 0.500 0.000
Se 0.500 0.500 0.500
O 0.000 0.500 0.000

Total moment (μB/f.u.): 0.0
D(E_F) (states/eV/cell): 3.492
Energy (eV/atom): -5.300
Volume (Å³/cell): 109.7
ρ (g/cm3): 5.29



Entry 4:
VASP calculation (GGA-PBE) on crystalline SrCuSeO6 at its relaxed geometry.

a = 5.0179 Å, b = 5.0179 Å, c = 5.4092 Å
α = 90.00°, β = 90.00°, γ = 120.00°
Space group P312 (No. 149)
One atom of each set of equivalent atoms:
Sr 0.0000 0.0000 0.0000
Cu 0.3333 0.6667 0.5000
Se 0.6667 0.3333 0.5000
O 0.3941 0.0207 0.6952

Total moment (μB/f.u.): 1.0
D(E_F) (states/eV/cell): 4.105
Energy (eV/atom): -5.412
Volume (Å³/cell): 118.0
ρ (g/cm3): 4.59



Entry 5:
VASP calculation (GGA-PBE) on crystalline Sr2Cu3Se2O2 at its relaxed geometry.

a = 4.008 Å, b = 4.008 Å, c = 19.196 Å
α = 90.00°, β = 90.00°, γ = 90.00°
Space group I4/mmm (No. 139)
One atom of each set of equivalent atoms:
Sr 0.000 0.000 0.086
Cu 0.000 0.000 0.500
Cu 0.000 0.500 0.250
Se 0.000 0.000 0.329
O 0.000 0.500 0.000

Total moment (μB/f.u.): 0.3
D(E_F) (states/eV/cell): 4.982
Energy (eV/atom): -4.909
Volume (Å³/cell): 308.4
ρ (g/cm3): 5.98



Entry 6:
VASP calculation (GGA-PBE) on crystalline SrCuSe2O8 at its relaxed geometry.

a = 5.0039 Å, b = 5.0039 Å, c = 22.2893 Å
α = 90.00°, β = 90.00°, γ = 120.00°
Space group R-3 (No. 148, hexagonal axes)
One atom of each set of equivalent atoms:
Sr 0.0000 0.0000 0.0000
Cu 0.0000 0.0000 0.5000
Se 0.0000 0.0000 0.2438
O 0.0000 0.0000 0.3192
O 0.0020 0.3249 0.2235

Total moment (μB/f.u.): 1.0
D(E_F) (states/eV/cell): 18.210
Energy (eV/atom): -5.396
Volume (Å³/cell): 483.3
ρ (g/cm3): 4.51